Entry 1:
# CsTl2Br3 | the Alexandria database | GGA-PBE | relaxed
# Raw formation energy: -6.1 eV/f.u.
# E_tot: -2.789 eV/atom
data_CsTl2Br3
_chemical_formula_sum 'Cs4 Tl8 Br12'
_symmetry_space_group_name_H-M 'C m c m'
_symmetry_Int_Tables_number 63
_symmetry_space_group_name_Hall '-C 2c 2'
_cell_length_a 12.974
_cell_length_b 13.446
_cell_length_c 7.161
_cell_angle_alpha 90.00
_cell_angle_beta 90.00
_cell_angle_gamma 90.00
loop_
_atom_site_label
_atom_site_fract_x
_atom_site_fract_y
_atom_site_fract_z
_atom_site_occupancy
Cs1 0.000 0.128 0.250 1
Tl1 0.166 0.500 0.000 1
Br1 0.000 0.370 0.750 1
Br2 0.162 0.095 0.750 1



Entry 2:
# Dy7ErTl3 | the Alexandria database | GGA-PBE | relaxed
# ΔE_f: 0.0358 eV/atom
# E_tot: -3.953 eV/atom
data_Dy7ErTl3
_chemical_formula_sum 'Dy14 Er2 Tl6'
_symmetry_space_group_name_H-M 'C 1 2/m 1'
_symmetry_Int_Tables_number 12
_symmetry_space_group_name_Hall '-C 2y'
_cell_length_a 10.814
_cell_length_b 11.672
_cell_length_c 5.970
_cell_angle_alpha 90.00
_cell_angle_beta 115.05
_cell_angle_gamma 90.00
loop_
_atom_site_label
_atom_site_fract_x
_atom_site_fract_y
_atom_site_fract_z
_atom_site_occupancy
Dy1 0.000 0.000 0.000 1
Dy2 0.173 0.500 0.155 1
Dy3 0.183 0.288 0.702 1
Er1 0.000 0.000 0.500 1
Tl1 0.000 0.265 0.000 1
Tl2 0.000 0.500 0.500 1



Entry 3:
# Li2Pu3Sb4 | the Alexandria database | GGA-PBE | relaxed
# Raw formation energy: -5.0 eV/f.u.
# E_tot: -7.589 eV/atom
data_Li2Pu3Sb4
_chemical_formula_sum 'Li4 Pu6 Sb8'
_symmetry_space_group_name_H-M 'C 1 2/m 1'
_symmetry_Int_Tables_number 12
_symmetry_space_group_name_Hall '-C 2y'
_cell_length_a 15.650
_cell_length_b 4.655
_cell_length_c 6.869
_cell_angle_alpha 90.00
_cell_angle_beta 110.87
_cell_angle_gamma 90.00
loop_
_atom_site_label
_atom_site_fract_x
_atom_site_fract_y
_atom_site_fract_z
_atom_site_occupancy
Li1 0.170 0.000 0.000 1
Pu1 0.000 0.500 0.000 1
Pu2 0.135 0.500 0.600 1
Sb1 0.005 0.000 0.295 1
Sb2 0.214 0.500 0.228 1